Entry from the Alexandria database: a crystal of MoIr3 relaxed with PBEsol (SCAN).

a b c (Å): 3.8461 3.8461 3.8461
angles (deg): 90.00 90.00 90.00
Space group Pm-3m (No. 221)
One atom of each set of equivalent atoms:
Mo 0.0000 0.0000 0.0000 (multiplicity 1)
Ir 0.0000 0.5000 0.5000 (multiplicity 3)

* E above lowest polymorph: 15.8 meV/atom
* DOS at the Fermi energy: 2.52 states/eV per cell
* calculated formation energy: -0.34 eV per atom
* energy: -62.390 eV per atom